No. 1
Density functional theory data (SCAN) for CdSbTe2 at its PBEsol-relaxed geometry.

a = 3.6272 Å, b = 5.3331 Å, c = 5.3533 Å
α = 90.00°, β = 90.00°, γ = 90.00°
Closest atoms and distances in Å follow each position.
Space group Pmmm (No. 47)
Symmetry-distinct sites (fractional):
Cd1 0.0000 0.0000 0.0000 (multiplicity 1)  4 Sb 3.22, 4 Te 3.23
Sb1 0.5000 0.5000 0.0000 (multiplicity 1)  4 Cd 3.22, 4 Te 3.23
Te1 0.0000 0.5000 0.5000 (multiplicity 1)  4 Te 3.22, 4 Sb 3.23
Te2 0.5000 0.0000 0.5000 (multiplicity 1)  4 Te 3.22, 4 Cd 3.23

The calculated density comes out at 7847 kg/m³. Its total energy is -141.28 eV/f.u. Its volume is 103.6 Å³/f.u. The calculation puts the uncorrected formation energy at 0.2248 eV per atom.

***

No. 2
Density functional theory data (SCAN) for FeTc2As at its PBEsol-relaxed geometry.

a = 4.2057 Å, b = 4.2057 Å, c = 2.9618 Å
α = 90.00°, β = 90.00°, γ = 90.00°
Closest atoms and distances in Å follow each position.
Space group P4/mmm (No. 123)
Symmetry-distinct sites (fractional):
Fe1 0.0000 0.0000 0.0000 (multiplicity 1)  8 Tc 2.57
Tc1 0.0000 0.5000 0.5000 (multiplicity 2)  4 As 2.57, 4 Fe 2.57
As1 0.5000 0.5000 0.0000 (multiplicity 1)  8 Tc 2.57

The value obtained for the calculated formation energy is -0.089 eV/atom. The calculated density comes out at 10357 kg/m³. Its energy above the lowest structure with this stoichiometry is 0.00 eV/f.u. Its total energy is -108.80 eV/f.u. Its volume is 52.4 Å³/f.u.

***

No. 3
Density functional theory data (SCAN) for CdFeAsSe2 at its PBEsol-relaxed geometry.

a = 5.0999 Å, b = 5.0999 Å, c = 4.9766 Å
α = 90.00°, β = 90.00°, γ = 90.00°
Closest atoms and distances in Å follow each position.
Space group P4/mmm (No. 123)
Symmetry-distinct sites (fractional):
Cd1 0.0000 0.0000 0.0000 (multiplicity 1)  2 As 2.49, 4 Se 2.55
Fe1 0.5000 0.5000 0.5000 (multiplicity 1)  8 Se 3.56, 4 As 3.61
As1 0.0000 0.0000 0.5000 (multiplicity 1)  2 Cd 2.49
Se1 0.0000 0.5000 0.0000 (multiplicity 2)  2 Cd 2.55

The calculated density comes out at 5146 kg/m³. Its total energy is -103.55 eV/f.u. Its volume is 129.4 Å³/f.u. The calculation puts the uncorrected formation energy at 1.0688 eV per atom.

***

No. 4
Density functional theory data (SCAN) for BaNaIN2 at its PBEsol-relaxed geometry.

a = 4.8172 Å, b = 4.8172 Å, c = 5.3999 Å
α = 90.00°, β = 90.00°, γ = 90.00°
Closest atoms and distances in Å follow each position.
Space group P4/mmm (No. 123)
Symmetry-distinct sites (fractional):
Ba1 0.0000 0.0000 0.0000 (multiplicity 1)  4 I 3.41, 8 N 3.62
Na1 0.5000 0.5000 0.5000 (multiplicity 1)  4 N 2.41
I1 0.5000 0.5000 0.0000 (multiplicity 1)  2 Na 2.70
N1 0.0000 0.5000 0.5000 (multiplicity 2)  2 Na 2.41

The calculated density comes out at 4177 kg/m³. Its total energy is -96.33 eV/f.u. Its volume is 125.3 Å³/f.u. The calculation puts the uncorrected formation energy at 0.5528 eV per atom.

***

No. 5
Density functional theory data (SCAN) for Si2HgAu at its PBEsol-relaxed geometry.

a = 6.5854 Å, b = 6.5854 Å, c = 6.5854 Å
α = 90.00°, β = 90.00°, γ = 90.00°
Closest atoms and distances in Å follow each position.
Space group F-43m (No. 216)
Symmetry-distinct sites (fractional):
Si1 0.0000 0.0000 0.0000 (multiplicity 4)  4 Si 2.85, 4 Au 2.85
Si2 0.2500 0.2500 0.2500 (multiplicity 4)  4 Hg 2.85, 4 Si 2.85
Hg1 0.0000 0.0000 0.5000 (multiplicity 4)  4 Si 2.85, 4 Au 2.85
Au1 0.2500 0.2500 0.7500 (multiplicity 4)  4 Hg 2.85, 4 Si 2.85

The calculated density comes out at 10552 kg/m³. Its total energy is -154.72 eV/f.u. Its volume is 71.4 Å³/f.u. The calculation puts the uncorrected formation energy at 0.6580 eV per atom.

***

No. 6
Density functional theory data (SCAN) for CrTcW at its PBEsol-relaxed geometry.

a = 4.2323 Å, b = 4.2323 Å, c = 2.6641 Å
α = 90.00°, β = 90.00°, γ = 120.00°
Closest atoms and distances in Å follow each position.
Space group P3m1 (No. 156)
Symmetry-distinct sites (fractional):
Cr1 0.0000 0.0000 0.0000 (multiplicity 1)  3 W 2.58, 3 Tc 2.61, 2 Cr 2.66
Tc1 0.3333 0.6667 0.3471 (multiplicity 1)  3 W 2.61, 3 Cr 2.61, 2 Tc 2.66
W1 0.6667 0.3333 0.6888 (multiplicity 1)  3 Cr 2.58, 3 Tc 2.61, 2 W 2.66

The value obtained for the calculated formation energy is 0.073 eV/atom. The calculated density comes out at 13414 kg/m³. Its energy above the lowest structure with this stoichiometry is 0.15 eV/f.u. Its total energy is -122.91 eV/f.u. Its volume is 41.3 Å³/f.u.